1.
# GGA-PBE Na3LiBr4, relaxed
data_Na3LiBr4
_cell_length_a 5.923
_cell_length_b 5.923
_cell_length_c 5.923
_cell_angle_alpha 90.00
_cell_angle_beta 90.00
_cell_angle_gamma 90.00
_symmetry_space_group_name_H-M 'P m -3 m'
_symmetry_Int_Tables_number 221
_symmetry_space_group_name_Hall '-P 4 2 3'
loop_
_atom_site_label
_atom_site_type_symbol
_atom_site_fract_x
_atom_site_fract_y
_atom_site_fract_z
Na1 Na 0.000 0.000 0.500
Li1 Li 0.500 0.500 0.500
Br1 Br 0.000 0.000 0.000
Br2 Br 0.000 0.500 0.500
# Polymorph energy (0 for the lowest one), kJ/mol of formula units: 6
# DOS at the Fermi energy, states/eV per cell: 0.0
# Raw formation energy, kJ/mol of formula units: -1182
# Uncorrected energy, eV/atom: -3.102

2.
# GGA-PBE Na2LiBr, relaxed
data_Na2LiBr
_cell_length_a 7.810
_cell_length_b 7.810
_cell_length_c 7.810
_cell_angle_alpha 90.00
_cell_angle_beta 90.00
_cell_angle_gamma 90.00
_symmetry_space_group_name_H-M 'F m -3 m'
_symmetry_Int_Tables_number 225
_symmetry_space_group_name_Hall '-F 4 2 3'
loop_
_atom_site_label
_atom_site_type_symbol
_atom_site_fract_x
_atom_site_fract_y
_atom_site_fract_z
Na1 Na 0.250 0.250 0.250
Li1 Li 0.000 0.000 0.000
Br1 Br 0.000 0.000 0.500
# Polymorph energy (0 for the lowest one), kJ/mol of formula units: 92
# DOS at the Fermi energy, states/eV per cell: 0.0
# Raw formation energy, kJ/mol of formula units: -149
# Uncorrected energy, eV/atom: -1.943

3.
# GGA-PBE Na2LiBr4, relaxed
data_Na2LiBr4
_cell_length_a 5.215
_cell_length_b 5.215
_cell_length_c 14.808
_cell_angle_alpha 90.00
_cell_angle_beta 90.00
_cell_angle_gamma 90.00
_symmetry_space_group_name_H-M 'I 4/m m m'
_symmetry_Int_Tables_number 139
_symmetry_space_group_name_Hall '-I 4 2'
loop_
_atom_site_label
_atom_site_type_symbol
_atom_site_fract_x
_atom_site_fract_y
_atom_site_fract_z
Na1 Na 0.000 0.000 0.120
Li1 Li 0.000 0.000 0.500
Br1 Br 0.000 0.000 0.310
Br2 Br 0.000 0.500 0.000
# DOS at the Fermi energy, states/eV per cell: 15.5
# Raw formation energy, kJ/mol of formula units: -764
# Uncorrected energy, eV/atom: -2.738

4.
# GGA-PBE Na2LiBr, relaxed
data_Na2LiBr
_cell_length_a 8.405
_cell_length_b 8.405
_cell_length_c 7.840
_cell_angle_alpha 90.00
_cell_angle_beta 90.00
_cell_angle_gamma 90.00
_symmetry_space_group_name_H-M 'I -4 2 d'
_symmetry_Int_Tables_number 122
_symmetry_space_group_name_Hall 'I -4 2bw'
loop_
_atom_site_label
_atom_site_type_symbol
_atom_site_fract_x
_atom_site_fract_y
_atom_site_fract_z
Na1 Na 0.200 0.250 0.125
Li1 Li 0.000 0.000 0.500
Br1 Br 0.000 0.000 0.000
# Polymorph energy (0 for the lowest one), kJ/mol of formula units: 54
# DOS at the Fermi energy, states/eV per cell: 7.7
# Raw formation energy, kJ/mol of formula units: -187
# Uncorrected energy, eV/atom: -2.041

5.
# GGA-PBE NaLi3Br4, relaxed
data_NaLi3Br4
_cell_length_a 4.246
_cell_length_b 9.617
_cell_length_c 10.499
_cell_angle_alpha 90.00
_cell_angle_beta 90.00
_cell_angle_gamma 90.00
_symmetry_space_group_name_H-M 'A m m 2'
_symmetry_Int_Tables_number 38
loop_
_symmetry_equiv_pos_as_xyz
'x,y,z'
'-x,-y,z'
'-x,y,z'
'x,-y,z'
'x,y+1/2,z+1/2'
'-x,-y+1/2,z+1/2'
'-x,y+1/2,z+1/2'
'x,-y+1/2,z+1/2'
loop_
_atom_site_label
_atom_site_type_symbol
_atom_site_fract_x
_atom_site_fract_y
_atom_site_fract_z
Na1 Na 0.000 0.000 0.000
Li1 Li 0.000 0.000 0.398
Li2 Li 0.500 0.214 0.679
Br1 Br 0.000 0.208 0.546
Br2 Br 0.500 0.000 0.249
Br3 Br 0.500 0.000 0.818
# Polymorph energy (0 for the lowest one), kJ/mol of formula units: 0
# DOS at the Fermi energy, states/eV per cell: 0.0
# Raw formation energy, kJ/mol of formula units: -1169
# Uncorrected energy, eV/atom: -3.234

6.
# GGA-PBE Na5Li3Br8, relaxed
data_Na5Li3Br8
_cell_length_a 8.2488
_cell_length_b 8.2488
_cell_length_c 20.3147
_cell_angle_alpha 90.00
_cell_angle_beta 90.00
_cell_angle_gamma 120.00
_symmetry_space_group_name_H-M 'R -3 m'
_symmetry_Int_Tables_number 166
_symmetry_space_group_name_Hall '-R 3 2"'
loop_
_atom_site_label
_atom_site_type_symbol
_atom_site_fract_x
_atom_site_fract_y
_atom_site_fract_z
Na1 Na 0.0000 0.0000 0.0000
Na2 Na 0.0000 0.0000 0.5000
Na3 Na 0.0000 0.5000 0.0000
Li1 Li 0.0000 0.5000 0.5000
Br1 Br 0.0000 0.0000 0.2435
Br2 Br 0.0093 0.5046 0.7547
# DOS at the Fermi energy, states/eV per cell: 0.0
# Raw formation energy, kJ/mol of formula units: -2366
# Uncorrected energy, eV/atom: -3.140